Entry 1:
GdLuRh2: single point on PBEsol structure, SCAN.

a = 4.737 Å, b = 4.737 Å, c = 4.737 Å
α = 60.00°, β = 60.00°, γ = 60.00°
Sites, in units of the cell vectors:
Gd: 0.500 0.500 0.500
Lu: 0.000 0.000 0.000
Rh: 0.250 0.250 0.250
Rh: 0.750 0.750 0.750

Values from the calculation:
E_tot = -3.41025 Ry per atom
SG = Fm-3m

---

Entry 2:
GdMg: single point on PBEsol structure, SCAN.

a = 3.777 Å, b = 3.777 Å, c = 3.777 Å
α = 90.00°, β = 90.00°, γ = 90.00°
Sites, in units of the cell vectors:
Mg: 0.000 0.000 0.000
Gd: 0.500 0.500 0.500

Values from the calculation:
E_tot = -2.35109 Ry per atom
SG = Pm-3m

---

Entry 3:
PmGdMg2: single point on PBEsol structure, SCAN.

a = 5.362 Å, b = 5.362 Å, c = 5.362 Å
α = 60.00°, β = 60.00°, γ = 60.00°
Sites, in units of the cell vectors:
Mg: 0.250 0.250 0.250
Mg: 0.750 0.750 0.750
Gd: 0.500 0.500 0.500
Pm: 0.000 0.000 0.000

Values from the calculation:
E_tot = -2.07976 Ry per atom
SG = Fm-3m

---

The highest E_tot belongs to which entry?
PmGdMg2

---

The lowest E_tot belongs to which entry?
GdLuRh2

---

E_tot of number 3 (PmGdMg2)?
-2.07976 Ry per atom